# Sc5TiCo6, relaxed, DFT GGA-PBE
# crystal system: orthorhombic
# energy relative to the elements: -0.3688 eV per atom
data_Sc5TiCo6
_space_group_name_H-M_alt 'C m m m'
_space_group_IT_number 65
_space_group_name_Hall '-C 2 2'
_cell_length_a 4.369
_cell_length_b 13.124
_cell_length_c 6.223
_cell_angle_alpha 90.00
_cell_angle_beta 90.00
_cell_angle_gamma 90.00
loop_
_atom_site_label
_atom_site_fract_x
_atom_site_fract_y
_atom_site_fract_z
Sc1 0.000 0.000 0.000
Sc2 0.000 0.333 0.000
Sc3 0.000 0.334 0.500
Ti1 0.000 0.000 0.500
Co1 0.000 0.161 0.257
Co2 0.000 0.500 0.264

# Sr3Ga2Pb2Au4, relaxed, DFT GGA-PBE
# crystal system: trigonal
# energy relative to the elements: -0.5304 eV per atom
data_Sr3Ga2Pb2Au4
_space_group_name_H-M_alt 'P -3 m 1'
_space_group_IT_number 164
_space_group_name_Hall '-P 3 2"'
_cell_length_a 4.8317
_cell_length_b 4.8317
_cell_length_c 14.6279
_cell_angle_alpha 90.00
_cell_angle_beta 90.00
_cell_angle_gamma 120.00
loop_
_atom_site_label
_atom_site_fract_x
_atom_site_fract_y
_atom_site_fract_z
Sr1 0.0000 0.0000 0.0000
Sr2 0.0000 0.0000 0.2650
Ga1 0.3333 0.6667 0.1537
Pb1 0.3333 0.6667 0.5576
Au1 0.3333 0.6667 0.3481
Au2 0.3333 0.6667 0.8648

# SrAsN, relaxed, DFT GGA-PBE
# excess energy over the best structure of this formula in the dataset: 15 meV/atom
# crystal system: triclinic
# ΔE_f (raw): -0.5041 eV per atom
data_SrAsN
_space_group_name_H-M_alt 'P -1'
_space_group_IT_number 2
_space_group_name_Hall '-P 1'
_cell_length_a 4.221
_cell_length_b 4.299
_cell_length_c 8.126
_cell_angle_alpha 103.28
_cell_angle_beta 95.39
_cell_angle_gamma 110.86
loop_
_atom_site_label
_atom_site_fract_x
_atom_site_fract_y
_atom_site_fract_z
Sr1 0.112 0.205 0.308
As1 0.338 0.697 0.021
N1 0.367 0.868 0.500

# ZrSi2As, relaxed, DFT GGA-PBE
# excess energy over the best structure of this formula in the dataset: 215 meV/atom
# crystal system: tetragonal
# ΔE_f (raw): -0.1367 eV per atom
data_ZrSi2As
_space_group_name_H-M_alt 'P 4/m m m'
_space_group_IT_number 123
_space_group_name_Hall '-P 4 2'
_cell_length_a 3.701
_cell_length_b 3.701
_cell_length_c 5.284
_cell_angle_alpha 90.00
_cell_angle_beta 90.00
_cell_angle_gamma 90.00
loop_
_atom_site_label
_atom_site_fract_x
_atom_site_fract_y
_atom_site_fract_z
Zr1 0.000 0.000 0.000
Si1 0.000 0.500 0.500
As1 0.500 0.500 0.000

# KErPb2Cl8, relaxed, DFT GGA-PBE
# crystal system: monoclinic
# ΔE_f (raw): -1.6674 eV per atom
data_KErPb2Cl8
_space_group_name_H-M_alt 'P 1 2/m 1'
_space_group_IT_number 10
_space_group_name_Hall '-P 2y'
_cell_length_a 6.548
_cell_length_b 8.858
_cell_length_c 6.817
_cell_angle_alpha 90.00
_cell_angle_beta 90.93
_cell_angle_gamma 90.00
loop_
_atom_site_label
_atom_site_fract_x
_atom_site_fract_y
_atom_site_fract_z
K1 0.000 0.000 0.000
Er1 0.000 0.500 0.000
Pb1 0.500 0.250 0.500
Cl1 0.227 0.286 0.158
Cl2 0.242 0.500 0.690
Cl3 0.278 0.000 0.640

# CaIrCl, relaxed, DFT GGA-PBE
# excess energy over the best structure of this formula in the dataset: 946 meV/atom
# crystal system: tetragonal
# ΔE_f (raw): -0.2897 eV per atom
data_CaIrCl
_space_group_name_H-M_alt 'I 4 m m'
_space_group_IT_number 107
_space_group_name_Hall 'I 4 -2'
_cell_length_a 3.075
_cell_length_b 3.075
_cell_length_c 14.307
_cell_angle_alpha 90.00
_cell_angle_beta 90.00
_cell_angle_gamma 90.00
loop_
_atom_site_label
_atom_site_fract_x
_atom_site_fract_y
_atom_site_fract_z
Ca1 0.000 0.000 0.000
Ir1 0.000 0.000 0.349
Cl1 0.000 0.000 0.616

# Ba3CaMo, relaxed, DFT GGA-PBE
# excess energy over the best structure of this formula in the dataset: 0 meV/atom
# crystal system: cubic
# energy relative to the elements: 0.6688 eV per atom
data_Ba3CaMo
_space_group_name_H-M_alt 'P m -3 m'
_space_group_IT_number 221
_space_group_name_Hall '-P 4 2 3'
_cell_length_a 6.118
_cell_length_b 6.118
_cell_length_c 6.118
_cell_angle_alpha 90.00
_cell_angle_beta 90.00
_cell_angle_gamma 90.00
loop_
_atom_site_label
_atom_site_fract_x
_atom_site_fract_y
_atom_site_fract_z
Ba1 0.000 0.000 0.500
Ca1 0.500 0.500 0.500
Mo1 0.000 0.000 0.000

# CsZn2Ru, relaxed, DFT GGA-PBE
# crystal system: cubic
# energy relative to the elements: 1.1259 eV per atom
data_CsZn2Ru
_space_group_name_H-M_alt 'F m -3 m'
_space_group_IT_number 225
_space_group_name_Hall '-F 4 2 3'
_cell_length_a 7.190
_cell_length_b 7.190
_cell_length_c 7.190
_cell_angle_alpha 90.00
_cell_angle_beta 90.00
_cell_angle_gamma 90.00
loop_
_atom_site_label
_atom_site_fract_x
_atom_site_fract_y
_atom_site_fract_z
Cs1 0.000 0.000 0.000
Zn1 0.250 0.250 0.250
Ru1 0.000 0.000 0.500

# Ba3Fe5, relaxed, DFT GGA-PBE
# excess energy over the best structure of this formula in the dataset: 0 meV/atom
# crystal system: hexagonal
# energy relative to the elements: 0.5912 eV per atom
data_Ba3Fe5
_space_group_name_H-M_alt 'P 63/m c m'
_space_group_IT_number 193
_space_group_name_Hall '-P 6c 2'
_cell_length_a 10.7692
_cell_length_b 10.7692
_cell_length_c 4.4794
_cell_angle_alpha 90.00
_cell_angle_beta 90.00
_cell_angle_gamma 120.00
loop_
_atom_site_label
_atom_site_fract_x
_atom_site_fract_y
_atom_site_fract_z
Ba1 0.0000 0.3562 0.2500
Fe1 0.0000 0.1243 0.7500
Fe2 0.3333 0.6667 0.0000

# NaNbPbO4, relaxed, DFT GGA-PBE
# crystal system: monoclinic
# ΔE_f (raw): -1.9763 eV per atom
data_NaNbPbO4
_space_group_name_H-M_alt 'P 1 21/m 1'
_space_group_IT_number 11
_space_group_name_Hall '-P 2yb'
_cell_length_a 6.570
_cell_length_b 6.276
_cell_length_c 6.844
_cell_angle_alpha 90.00
_cell_angle_beta 99.26
_cell_angle_gamma 90.00
loop_
_atom_site_label
_atom_site_fract_x
_atom_site_fract_y
_atom_site_fract_z
Na1 0.154 0.250 0.091
Nb1 0.324 0.750 0.870
Pb1 0.273 0.250 0.623
O1 0.145 0.510 0.821
O2 0.455 0.750 0.134
O3 0.486 0.250 0.300

# UCo2B, relaxed, DFT GGA-PBE
# crystal system: trigonal
# energy relative to the elements: 0.0977 eV per atom
data_UCo2B
_space_group_name_H-M_alt 'R -3 m'
_space_group_IT_number 166
_space_group_name_Hall '-R 3 2"'
_cell_length_a 2.8992
_cell_length_b 2.8992
_cell_length_c 20.7557
_cell_angle_alpha 90.00
_cell_angle_beta 90.00
_cell_angle_gamma 120.00
loop_
_atom_site_label
_atom_site_fract_x
_atom_site_fract_y
_atom_site_fract_z
U1 0.0000 0.0000 0.0000
Co1 0.0000 0.0000 0.2171
B1 0.0000 0.0000 0.5000

# CeYTh14, relaxed, DFT GGA-PBE
# crystal system: orthorhombic
# energy relative to the elements: 0.0365 eV per atom
data_CeYTh14
_space_group_name_H-M_alt 'A m m 2'
_space_group_IT_number 38
_space_group_name_Hall 'A 2 -2'
_cell_length_a 11.570
_cell_length_b 7.165
_cell_length_c 12.394
_cell_angle_alpha 90.00
_cell_angle_beta 90.00
_cell_angle_gamma 90.00
loop_
_atom_site_label
_atom_site_fract_x
_atom_site_fract_y
_atom_site_fract_z
Ce1 0.000 0.000 0.000
Y1 0.000 0.000 0.503
Th1 0.000 0.248 0.754
Th2 0.249 0.000 0.836
Th3 0.249 0.250 0.086
Th4 0.250 0.000 0.336
Th5 0.500 0.000 0.169
Th6 0.500 0.000 0.669
Th7 0.500 0.250 0.419